PrUCr2O8: optimized geometry, PBE with a Hubbard U.

Unit cell a=7.3759 b=6.4523 c=7.2340 alpha=90.00 beta=98.41 gamma=90.00
Space group C2/m (No. 12)
Inequivalent atoms, fractional coordinates:
Pr  0.0000  0.0000  0.0000
U  0.0000  0.0000  0.5000
Cr  0.0419  0.5000  0.2096
O  0.0060  0.2151  0.2679
O  0.1668  0.5000  0.0023
O  0.2339  0.5000  0.4379

Values from the calculation:
**DOS at the Fermi energy**: 3.6 states/eV/f.u.
**Raw total energy**: -8.32 eV/atom
**Calculated density**: 5.957 g/cm³